(1)
Here is a relaxed RbNbCd crystal from Alexandria. Energies are from GGA-PBE.

abc: 5.4788 5.4788 6.1526
angles: 90.00 90.00 120.00
Closest atoms and distances in Å follow each position.
Fractional coordinates of all 6 atoms:
Nb: 0.3333 0.6667 0.2500  5 Cd 3.08-3.16
Nb: 0.6667 0.3333 0.7500  5 Cd 3.08-3.16
Rb: 0.0000 0.0000 0.0000  2 Rb 3.08
Rb: 0.0000 0.0000 0.5000  2 Rb 3.08
Cd: 0.3333 0.6667 0.7500  5 Nb 3.08-3.16
Cd: 0.6667 0.3333 0.2500  5 Nb 3.08-3.16

Total moment: 0.0 μB/f.u.
Energy: -16.04 eV for the cell shown
ΔH_f (0 K): 1.3116 eV per atom

(2)
Here is a relaxed Zr2SbSe crystal from Alexandria. Energies are from GGA-PBE.

abc: 6.0887 6.0887 6.0887
angles: 146.32 133.81 58.37
Closest atoms and distances in Å follow each position.
Fractional coordinates of all 4 atoms:
Sb: 0.4939 0.4939 0.0000  6 Zr 2.98-3.09, 2 Se 3.32
Se: 0.7773 0.2773 0.5000  6 Zr 2.73-2.98
Zr: 0.9736 0.9736 0.0000  2 Se 2.73, 4 Sb 2.98
Zr: 0.2553 0.7553 0.5000  4 Se 2.98, 2 Sb 3.09, 2 Zr 3.33

Total moment: 0.4 μB/f.u.
Energy relative to the elements, uncorrected: -597 meV/atom
Energy: -27.09 eV for the cell shown

(3)
Here is a relaxed TbReHgO6 crystal from Alexandria. Energies are from GGA-PBE.

abc: 5.7716 5.7691 5.3455
angles: 81.88 98.15 58.82
Closest atoms and distances in Å follow each position.
Fractional coordinates of all 9 atoms:
Tb: 0.6694 0.6693 0.4997  6 O 2.25-2.32
Re: 0.3191 0.3191 0.5001  4 O 1.82-1.86
Hg: 0.9772 0.9775 0.0001  2 O 2.04
O: 0.9960 0.4166 0.2772  1 Re 1.82
O: 0.4172 0.9957 0.7229  1 Re 1.82
O: 0.6603 0.3088 0.7083  1 Hg 2.04, 1 Re 2.09, 1 Tb 2.25
O: 0.1059 0.5463 0.6988  1 Re 1.86
O: 0.3085 0.6606 0.2918  1 Hg 2.04, 1 Re 2.09, 1 Tb 2.25
O: 0.5462 0.1060 0.3011  1 Re 1.86

Total moment: 0.0 μB/f.u.
Energy relative to the elements, uncorrected: -1787 meV/atom
Energy: -63.21 eV for the cell shown

(4)
Here is a relaxed Tb6SbTe2Se3 crystal from Alexandria. Energies are from GGA-PBE.

abc: 4.2195 8.5332 9.5042
angles: 103.43 102.83 90.00
Closest atoms and distances in Å follow each position.
Fractional coordinates of all 12 atoms:
Tb: 0.3303 0.9374 0.6606  3 Se 2.87-2.92, 1 Sb 3.06, 2 Te 3.15
Tb: 0.6584 0.6020 0.3169  3 Se 2.86-2.87, 3 Te 3.13-3.14
Tb: 0.6697 0.0626 0.3394  3 Se 2.87-2.92, 1 Sb 3.06, 2 Te 3.15
Tb: 0.9932 0.2580 0.9863  3 Se 2.90-2.93, 2 Sb 3.07, 1 Te 3.15
Tb: 0.0068 0.7420 0.0137  3 Se 2.90-2.93, 2 Sb 3.07, 1 Te 3.15
Tb: 0.3416 0.3980 0.6831  3 Se 2.86-2.87, 3 Te 3.13-3.14
Sb: 0.5000 0.0000 0.0000  6 Tb 3.06-3.07
Te: 0.8321 0.6645 0.6642  6 Tb 3.13-3.15
Te: 0.1679 0.3355 0.3358  6 Tb 3.13-3.15
Se: 0.5000 0.5000 0.0000  6 Tb 2.86-2.93
Se: 0.8319 0.1666 0.6638  6 Tb 2.87-2.92
Se: 0.1681 0.8334 0.3362  6 Tb 2.87-2.92

Total moment: 0.0 μB/f.u.
Energy relative to the elements, uncorrected: -1532 meV/atom
Energy: -67.03 eV for the cell shown